No. 1
Ba2MoW: optimized geometry, PBE.

Cell: 5.5884 5.5884 4.0127 Å, 90.00 90.00 90.00°
Fractional positions:
Ba1 0.0000 0.5000 0.0000
Ba2 0.5000 0.0000 0.0000
Mo1 0.0000 0.0000 0.5000
W1 0.5000 0.5000 0.5000

Results
Space group: P4/mmm
Excess energy over the best structure of this formula in the dataset (meV per atom): 1165

No. 2
Ba2MoW: optimized geometry, PBE.

Cell: 6.7734 6.7734 6.7734 Å, 148.72 128.63 61.38°
Fractional positions:
Ba1 0.0000 0.0000 0.0000
Ba2 0.7092 0.2092 0.5000
Mo1 0.2864 0.7864 0.5000
W1 0.4220 0.4220 0.0000

Results
Space group: Imm2
Excess energy over the best structure of this formula in the dataset (meV per atom): 174

No. 3
BaMo2W: optimized geometry, PBE.

Cell: 5.6246 5.6246 2.8451 Å, 101.32 101.32 111.58°
Fractional positions:
Ba1 0.0000 0.0000 0.0000
Mo1 0.0000 0.5000 0.5000
Mo2 0.5000 0.0000 0.5000
W1 0.5000 0.5000 0.0000

Results
Space group: C2/m
Excess energy over the best structure of this formula in the dataset (meV per atom): 592

No. 4
Ba2MoW: optimized geometry, PBE.

Cell: 3.0109 5.6955 6.0176 Å, 90.00 90.15 90.00°
Fractional positions:
Ba1 0.9995 0.0000 0.2499
Ba2 0.0005 0.0000 0.7501
Mo1 0.5000 0.5000 0.0000
W1 0.5000 0.5000 0.5000

Results
Space group: P2/m
Excess energy over the best structure of this formula in the dataset (meV per atom): 869

No. 5
Ba2MoW: optimized geometry, PBE.

Cell: 10.0491 10.0491 10.0491 Å, 159.17 158.25 30.30°
Fractional positions:
Ba1 0.1467 0.1467 0.0000
Ba2 0.8533 0.8533 0.0000
Mo1 0.0000 0.5000 0.5000
W1 0.5000 0.0000 0.5000

Results
Space group: Immm
Excess energy over the best structure of this formula in the dataset (meV per atom): 128

No. 6
Ba2MoW: optimized geometry, PBE.

Cell: 5.2281 5.2281 5.2281 Å, 118.54 118.54 92.55°
Fractional positions:
Ba1 0.0000 0.0000 0.0000
Ba2 0.7500 0.2500 0.5000
Mo1 0.5000 0.5000 0.0000
W1 0.2500 0.7500 0.5000

Results
Space group: I-4m2
Excess energy over the best structure of this formula in the dataset (meV per atom): 868

No. 7
Ba2MoW: optimized geometry, PBE.

Cell: 3.0128 3.0128 11.3772 Å, 90.00 90.00 90.10°
Fractional positions:
Ba1 0.0000 0.0000 0.2503
Ba2 0.0000 0.0000 0.7497
Mo1 0.5000 0.5000 0.0000
W1 0.5000 0.5000 0.5000

Results
Space group: Cmmm
Excess energy over the best structure of this formula in the dataset (meV per atom): 866

No. 8
BaMo2W: optimized geometry, PBE.

Cell: 2.9310 2.9310 10.1005 Å, 90.00 90.00 110.40°
Fractional positions:
Ba1 0.0000 0.0000 0.0000
Mo1 0.5000 0.5000 0.2969
Mo2 0.5000 0.5000 0.7031
W1 0.0000 0.0000 0.5000

Results
Space group: Cmmm
Excess energy over the best structure of this formula in the dataset (meV per atom): 65

No. 9
BaZnMo2W: optimized geometry, PBE.

Cell: 4.9341 4.9341 5.0163 Å, 90.00 90.00 90.00°
Fractional positions:
Ba1 0.0000 0.0000 0.0000
Zn1 0.0000 0.0000 0.5000
Mo1 0.0000 0.5000 0.0000
Mo2 0.5000 0.0000 0.0000
W1 0.5000 0.5000 0.5000

Results
Space group: P4/mmm

No. 10
Ba2YMo: optimized geometry, PBE.

Cell: 5.8513 5.8513 5.8513 Å, 60.00 60.00 60.00°
Fractional positions:
Ba1 0.2500 0.2500 0.2500
Ba2 0.7500 0.7500 0.7500
Y1 0.0000 0.0000 0.0000
Mo1 0.5000 0.5000 0.5000

Results
Space group: Fm-3m
Excess energy over the best structure of this formula in the dataset (meV per atom): 417

No. 11
BaYMo3: optimized geometry, PBE.

Cell: 5.0356 5.0356 5.0356 Å, 90.00 90.00 90.00°
Fractional positions:
Ba1 0.0000 0.0000 0.0000
Y1 0.5000 0.5000 0.5000
Mo1 0.0000 0.0000 0.5000
Mo2 0.0000 0.5000 0.0000
Mo3 0.5000 0.0000 0.0000

Results
Space group: Pm-3m
Excess energy over the best structure of this formula in the dataset (meV per atom): 352

No. 12
Ba2YMo: optimized geometry, PBE.

Cell: 6.8264 6.8264 3.6852 Å, 100.37 100.37 119.92°
Fractional positions:
Ba1 0.0000 0.5000 0.0000
Ba2 0.5000 0.0000 0.0000
Y1 0.0000 0.0000 0.5000
Mo1 0.5000 0.5000 0.5000

Results
Space group: C2/m
Excess energy over the best structure of this formula in the dataset (meV per atom): 452

We obtain formation energy from the elements values of 1903.9; 912.9; 1368.3; 1608.5; 867.1; 1607.1; 1604.9; 841.5; 3357.2; 1002.2; 2448.3; 1037.1 meV/atom for the records listed above, in that order.
We obtain Fermi-level density of states values of 1.185; 1.166; 0.936; 0.923; 1.284; 1.545; 0.894; 0.680; 1.732; 1.234; 1.124; 1.504 states/eV per atom for the records listed above, in that order.